## Cs4Pr3NbS8 (GGA-PBE)

Data for Cs4Pr3NbS8 after structural relaxation.

Unit cell a=9.4018 b=9.4018 c=9.4018 alpha=52.51 beta=52.51 gamma=52.51
Sites, in units of the cell vectors:
Cs 0.0000 0.0000 0.0000
Cs 0.0000 0.5000 0.5000
Cs 0.5000 0.0000 0.5000
Cs 0.5000 0.5000 0.0000
Pr 0.0000 0.0000 0.5000
Pr 0.0000 0.5000 0.0000
Pr 0.5000 0.0000 0.0000
Nb 0.5000 0.5000 0.5000
S 0.2307 0.2307 0.2307
S 0.2521 0.7146 0.7146
S 0.2854 0.2854 0.7479
S 0.2854 0.7479 0.2854
S 0.7146 0.2521 0.7146
S 0.7146 0.7146 0.2521
S 0.7479 0.2854 0.2854
S 0.7693 0.7693 0.7693

Summary:
Formation energy without anion corrections in eV/f.u.: -24.573
Total moment in μB/f.u.: 2.0
Uncorrected energy in eV/atom: -5.338

=====

## P2Br (GGA-PBE)

Data for P2Br after structural relaxation.

Unit cell a=3.9469 b=3.9469 c=4.9460 alpha=90.00 beta=90.00 gamma=120.00
Sites, in units of the cell vectors:
P 0.3333 0.6667 0.0000
P 0.6667 0.3333 0.0000
Br 0.0000 0.0000 0.5000

Summary:
Energy above the most stable polymorph in this dataset in eV/atom: 0.630
Formation energy without anion corrections in eV/f.u.: 1.737
Total moment in μB/f.u.: 0.0
Uncorrected energy in eV/atom: -3.585

=====

## CaScTaIr2 (GGA-PBE)

Data for CaScTaIr2 after structural relaxation.

Unit cell a=4.3847 b=4.3847 c=11.0473 alpha=90.00 beta=90.00 gamma=90.00
Sites, in units of the cell vectors:
Ca 0.0000 0.0000 0.0000
Ca 0.5000 0.5000 0.5000
Sc 0.0000 0.5000 0.7500
Sc 0.5000 0.0000 0.2500
Ta 0.0000 0.5000 0.2500
Ta 0.5000 0.0000 0.7500
Ir 0.0000 0.0000 0.3819
Ir 0.0000 0.0000 0.6181
Ir 0.5000 0.5000 0.1181
Ir 0.5000 0.5000 0.8819

Summary:
Total moment in μB/f.u.: 0.0
DFT formation energy in eV/atom: -0.62
Uncorrected energy in eV/atom: -8.206

=====

## ScAlRu2 (GGA-PBE)

Data for ScAlRu2 after structural relaxation.

Unit cell a=5.7390 b=8.2720 c=2.8543 alpha=90.00 beta=114.60 gamma=90.00
Sites, in units of the cell vectors:
Sc 0.0000 0.0000 0.0000
Sc 0.5000 0.5000 0.0000
Al 0.0000 0.5000 0.0000
Al 0.5000 0.0000 0.0000
Ru 0.2500 0.2500 0.5000
Ru 0.2500 0.7500 0.5000
Ru 0.7500 0.2500 0.5000
Ru 0.7500 0.7500 0.5000

Summary:
Total moment in μB/f.u.: 0.0
DFT formation energy in eV/atom: -0.35
Uncorrected energy in eV/atom: -7.506

=====

## LaCuGe2Ir (GGA-PBE)

Data for LaCuGe2Ir after structural relaxation.

Unit cell a=4.2480 b=4.2480 c=10.4745 alpha=90.00 beta=90.00 gamma=90.00
Sites, in units of the cell vectors:
La 0.0000 0.0000 0.0000
La 0.5000 0.5000 0.5000
Cu 0.0000 0.5000 0.7500
Cu 0.5000 0.0000 0.2500
Ge 0.0000 0.0000 0.3746
Ge 0.0000 0.0000 0.6254
Ge 0.5000 0.5000 0.1254
Ge 0.5000 0.5000 0.8746
Ir 0.0000 0.5000 0.2500
Ir 0.5000 0.0000 0.7500

Summary:
Total moment in μB/f.u.: 0.0
DFT formation energy in eV/atom: -0.60
Uncorrected energy in eV/atom: -6.021

=====

## CaPmNd (GGA-PBE)

Data for CaPmNd after structural relaxation.

Unit cell a=3.7319 b=3.7319 c=15.8406 alpha=90.00 beta=90.00 gamma=90.00
Sites, in units of the cell vectors:
Ca 0.0000 0.0000 0.0000
Ca 0.5000 0.5000 0.5000
Pm 0.0000 0.0000 0.3259
Pm 0.5000 0.5000 0.8259
Nd 0.0000 0.0000 0.6754
Nd 0.5000 0.5000 0.1754

Summary:
Energy above the most stable polymorph in this dataset in eV/atom: 0.002
Total moment in μB/f.u.: 0.0
DFT formation energy in eV/atom: 0.03
Uncorrected energy in eV/atom: -3.810

=====

## Cs3HIr (GGA-PBE)

Data for Cs3HIr after structural relaxation.

Unit cell a=5.7548 b=5.7548 c=5.7548 alpha=90.00 beta=90.00 gamma=90.00
Sites, in units of the cell vectors:
Cs 0.0000 0.0000 0.5000
Cs 0.0000 0.5000 0.0000
Cs 0.5000 0.0000 0.0000
H 0.0000 0.0000 0.0000
Ir 0.5000 0.5000 0.5000

Summary:
Energy above the most stable polymorph in this dataset in eV/atom: 0.000
Total moment in μB/f.u.: 1.0
Uncorrected energy in eV/atom: -2.386

=====

## SrZnP (GGA-PBE)

Data for SrZnP after structural relaxation.

Unit cell a=3.5847 b=3.5847 c=10.5682 alpha=90.00 beta=90.00 gamma=90.00
Sites, in units of the cell vectors:
Sr 0.0000 0.0000 0.0000
Sr 0.5000 0.5000 0.5000
Zn 0.0000 0.0000 0.2914
Zn 0.5000 0.5000 0.7914
P 0.0000 0.0000 0.6993
P 0.5000 0.5000 0.1993

Summary:
Total moment in μB/f.u.: 0.0
DFT formation energy in eV/atom: -0.27
Uncorrected energy in eV/atom: -3.060

=====

## TiN (GGA-PBE)

Data for TiN after structural relaxation.

Unit cell a=5.6234 b=5.6234 c=5.6234 alpha=90.00 beta=90.00 gamma=90.00
Sites, in units of the cell vectors:
Ti 0.0000 0.2500 0.5000
Ti 0.0000 0.7500 0.5000
Ti 0.2500 0.5000 0.0000
Ti 0.5000 0.0000 0.2500
Ti 0.5000 0.0000 0.7500
Ti 0.7500 0.5000 0.0000
N 0.0000 0.5000 0.2500
N 0.0000 0.5000 0.7500
N 0.2500 0.0000 0.5000
N 0.5000 0.2500 0.0000
N 0.5000 0.7500 0.0000
N 0.7500 0.0000 0.5000

Summary:
Formation energy without anion corrections in eV/f.u.: -2.567
Total moment in μB/f.u.: 0.0
Uncorrected energy in eV/atom: -9.394

=====

## AcYAlPt (GGA-PBE)

Data for AcYAlPt after structural relaxation.

Unit cell a=7.4619 b=7.4619 c=7.4619 alpha=90.00 beta=90.00 gamma=90.00
Sites, in units of the cell vectors:
Ac 0.0000 0.0000 0.0000
Ac 0.0000 0.5000 0.5000
Ac 0.5000 0.0000 0.5000
Ac 0.5000 0.5000 0.0000
Y 0.0000 0.0000 0.5000
Y 0.0000 0.5000 0.0000
Y 0.5000 0.0000 0.0000
Y 0.5000 0.5000 0.5000
Al 0.2500 0.2500 0.2500
Al 0.2500 0.7500 0.7500
Al 0.7500 0.2500 0.7500
Al 0.7500 0.7500 0.2500
Pt 0.2500 0.2500 0.7500
Pt 0.2500 0.7500 0.2500
Pt 0.7500 0.2500 0.2500
Pt 0.7500 0.7500 0.7500

Summary:
Total moment in μB/f.u.: 0.0
DFT formation energy in eV/atom: -0.57
Uncorrected energy in eV/atom: -5.655

=====

## InCoCu (GGA-PBE)

Data for InCoCu after structural relaxation.

Unit cell a=4.2766 b=4.2766 c=2.8043 alpha=90.00 beta=90.00 gamma=120.00
Sites, in units of the cell vectors:
In 0.0000 0.0000 0.0000
Co 0.3333 0.6667 0.4145
Cu 0.6667 0.3333 0.6449

Summary:
Energy above the most stable polymorph in this dataset in eV/atom: 0.071
Total moment in μB/f.u.: 1.2
DFT formation energy in eV/atom: 0.26
Uncorrected energy in eV/atom: -4.385

=====

## Tm2CoNi3P4 (GGA-PBE)

Data for Tm2CoNi3P4 after structural relaxation.

Unit cell a=3.9270 b=3.9270 c=9.1000 alpha=90.00 beta=90.00 gamma=90.00
Sites, in units of the cell vectors:
Tm 0.0000 0.5000 0.2479
Tm 0.5000 0.0000 0.7521
Co 0.0000 0.0000 0.5000
Ni 0.0000 0.5000 0.8785
Ni 0.5000 0.0000 0.1215
Ni 0.5000 0.5000 0.5000
P 0.0000 0.0000 0.0000
P 0.0000 0.5000 0.6318
P 0.5000 0.0000 0.3682
P 0.5000 0.5000 0.0000

Summary:
Total moment in μB/f.u.: 0.7
DFT formation energy in eV/atom: -0.96
Uncorrected energy in eV/atom: -6.459

=====

## Rb2VHg (GGA-PBE)

Data for Rb2VHg after structural relaxation.

Unit cell a=14.0248 b=3.6587 c=6.6077 alpha=90.00 beta=110.44 gamma=90.00
Sites, in units of the cell vectors:
Rb 0.0000 0.0000 0.0000
Rb 0.1922 0.0000 0.6451
Rb 0.5000 0.5000 0.0000
Rb 0.6922 0.5000 0.6451
V 0.4142 0.0000 0.4322
V 0.9142 0.5000 0.4322
Hg 0.2610 0.5000 0.1928
Hg 0.7610 0.0000 0.1928

Summary:
Total moment in μB/f.u.: 4.3
DFT formation energy in eV/atom: 0.61
Uncorrected energy in eV/atom: -2.231

=====

## In3AsRu (GGA-PBE)

Data for In3AsRu after structural relaxation.

Unit cell a=5.1443 b=5.1443 c=5.1443 alpha=90.00 beta=90.00 gamma=90.00
Sites, in units of the cell vectors:
In 0.0000 0.0000 0.5000
In 0.0000 0.5000 0.0000
In 0.5000 0.0000 0.0000
As 0.5000 0.5000 0.5000
Ru 0.0000 0.0000 0.0000

Summary:
Energy above the most stable polymorph in this dataset in eV/atom: 0.000
Total moment in μB/f.u.: 1.4
DFT formation energy in eV/atom: 0.40
Uncorrected energy in eV/atom: -4.026

=====

## CrSb (GGA-PBE)

Data for CrSb after structural relaxation.

Unit cell a=7.8270 b=7.8270 c=7.8270 alpha=90.00 beta=90.00 gamma=90.00
Sites, in units of the cell vectors:
Cr 0.1042 0.1042 0.1042
Cr 0.1042 0.8958 0.8958
Cr 0.3958 0.3958 0.6042
Cr 0.3958 0.6042 0.3958
Cr 0.6042 0.3958 0.3958
Cr 0.6042 0.6042 0.6042
Cr 0.8958 0.1042 0.8958
Cr 0.8958 0.8958 0.1042
Sb 0.2011 0.2011 0.7989
Sb 0.2011 0.7989 0.2011
Sb 0.2989 0.2989 0.2989
Sb 0.2989 0.7011 0.7011
Sb 0.7011 0.2989 0.7011
Sb 0.7011 0.7011 0.2989
Sb 0.7989 0.2011 0.2011
Sb 0.7989 0.7989 0.7989

Summary:
Formation energy without anion corrections in eV/f.u.: 0.988
Total moment in μB/f.u.: 0.0
Uncorrected energy in eV/atom: -6.379

=====

## Ti8H2N3 (GGA-PBE)

Data for Ti8H2N3 after structural relaxation.

Unit cell a=5.9399 b=5.9399 c=5.2441 alpha=106.96 beta=106.96 gamma=61.14
Sites, in units of the cell vectors:
Ti 0.1177 0.1177 0.2477
Ti 0.1314 0.6323 0.2539
Ti 0.3677 0.8686 0.7461
Ti 0.3790 0.3790 0.7658
Ti 0.6210 0.6210 0.2342
Ti 0.6323 0.1314 0.2539
Ti 0.8686 0.3677 0.7461
Ti 0.8823 0.8823 0.7523
H 0.3127 0.3127 0.3811
H 0.6873 0.6873 0.6189
N 0.0000 0.0000 0.5000
N 0.2461 0.7539 0.0000
N 0.7539 0.2461 0.0000

Summary:
Total moment in μB/f.u.: 0.0
Uncorrected energy in eV/atom: -8.276

=====

## La2YCo (GGA-PBE)

Data for La2YCo after structural relaxation.

Unit cell a=7.4481 b=7.4481 c=7.4481 alpha=90.00 beta=90.00 gamma=90.00
Sites, in units of the cell vectors:
La 0.0000 0.0000 0.0000
La 0.0000 0.5000 0.5000
La 0.2500 0.2500 0.2500
La 0.2500 0.7500 0.7500
La 0.5000 0.0000 0.5000
La 0.5000 0.5000 0.0000
La 0.7500 0.2500 0.7500
La 0.7500 0.7500 0.2500
Y 0.0000 0.0000 0.5000
Y 0.0000 0.5000 0.0000
Y 0.5000 0.0000 0.0000
Y 0.5000 0.5000 0.5000
Co 0.2500 0.2500 0.7500
Co 0.2500 0.7500 0.2500
Co 0.7500 0.2500 0.2500
Co 0.7500 0.7500 0.7500

Summary:
Energy above the most stable polymorph in this dataset in eV/atom: 0.436
Total moment in μB/f.u.: 0.0
DFT formation energy in eV/atom: 0.33
Uncorrected energy in eV/atom: -5.523

=====

## Sm6Te3P2Se (GGA-PBE)

Data for Sm6Te3P2Se after structural relaxation.

Unit cell a=9.6801 b=9.6801 c=8.7086 alpha=105.08 beta=105.08 gamma=25.22
Sites, in units of the cell vectors:
Sm 0.0136 0.0136 0.2428
Sm 0.3238 0.3238 0.4376
Sm 0.3340 0.3340 0.8852
Sm 0.6660 0.6660 0.1148
Sm 0.6762 0.6762 0.5624
Sm 0.9864 0.9864 0.7572
Te 0.1630 0.1630 0.8335
Te 0.5000 0.5000 0.5000
Te 0.8370 0.8370 0.1665
P 0.1677 0.1677 0.3344
P 0.8323 0.8323 0.6656
Se 0.5000 0.5000 0.0000

Summary:
Formation energy without anion corrections in eV/f.u.: -19.246
Total moment in μB/f.u.: 0.0
Uncorrected energy in eV/atom: -5.941